Below is FeRu2 after structural relaxation, with properties calculated at the GGA-PBEsol level.

```
FeRu2
1.0
2.622 0.000 0.000
-1.311 2.271 0.000
0.000 0.000 6.299
Ru Fe
2 1
direct
0.667 0.333 0.326
0.333 0.667 0.674
0.000 0.000 0.000
```

Ca2TlW GGA-PBEsol relaxed; offset from the most stable computed form = 0.000 eV/atom
1.0
-2.434 -2.243 -1.485
-1.352 -0.712 3.290
-5.164 6.131 -0.796
Ca W Tl
2 1 1
direct
0.000 0.000 0.936
0.500 0.500 0.313
0.500 0.500 0.698
0.000 0.000 0.553

Calculated formation energy, 171.2 627.8 meV per atom (same order as the records).
Calculated D(E_F), 3.92 6.56 states/eV/f.u. (same order as the records).